Computed, not measured: SnBi2Pb3 after structural relaxation at the PBE-GGA level of DFT.

```
12
Lattice="8.637 -3.228 0.000 8.637 3.228 0.000 -0.004 0.000 6.840" Properties=species:S:1:pos:R:3 pbc="T T T"
Sn 8.634 1.626 5.130
Sn 8.636 -1.626 1.710
Bi 5.669 0.076 5.144
Bi 5.671 -0.076 1.724
Bi 11.598 0.076 5.116
Bi 11.601 -0.076 1.696
Pb 2.689 0.004 3.426
Pb 2.691 -0.004 0.007
Pb 8.636 1.597 1.710
Pb 8.634 -1.597 5.130
Pb 14.578 0.004 6.833
Pb 14.580 -0.004 3.413
```

Summary:
Total moment   0.00 μB per formula unit
E_tot   -3.76 eV/atom
ρ   10.09 g cm⁻³

Computed, not measured: LaZnRh after structural relaxation at the PBE-GGA level of DFT.

```
12
Lattice="4.266 0.000 0.000 0.000 10.364 0.000 0.000 0.000 5.692" Properties=species:S:1:pos:R:3 pbc="T T T"
La 0.000 2.102 1.423
La 0.000 8.263 4.269
La 2.133 3.080 4.269
La 2.133 7.284 1.423
Zn 0.000 5.182 0.000
Zn 0.000 5.182 2.846
Zn 2.133 0.000 0.000
Zn 2.133 0.000 2.846
Rh 0.000 0.885 4.269
Rh 0.000 9.479 1.423
Rh 2.133 4.297 1.423
Rh 2.133 6.067 4.269
```

Summary:
Total moment   0.00 μB per formula unit
E_tot   -5.13 eV/atom
ρ   8.11 g cm⁻³

Computed, not measured: TlI3N after structural relaxation at the PBE-GGA level of DFT.

```
5
Lattice="5.233 0.000 0.000 0.000 5.233 0.000 0.000 0.000 5.233" Properties=species:S:1:pos:R:3 pbc="T T T"
Tl 0.000 0.000 0.000
I 0.000 2.616 2.616
I 2.616 0.000 2.616
I 2.616 2.616 0.000
N 2.616 2.616 2.616
```

Summary:
Total moment   0.00 μB per formula unit
E_tot   -2.50 eV/atom
ΔE_f (raw)   0.57 eV/atom
ρ   6.94 g cm⁻³